[1]
DFT (SCAN) results for a PBEsol-optimized structure of La4Au.

CIF file:
```
data_La4Au
_cell_length_a 3.7309
_cell_length_b 3.7309
_cell_length_c 39.6100
_cell_angle_alpha 90.00
_cell_angle_beta 90.00
_cell_angle_gamma 120.00
_space_group_name_H-M_alt 'R -3 m'
_space_group_IT_number 166
_space_group_name_Hall '-R 3 2"'
loop_
_atom_site_label
_atom_site_type_symbol
_atom_site_fract_x
_atom_site_fract_y
_atom_site_fract_z
La1 La 0.0000 0.0000 0.1119
La2 La 0.0000 0.0000 0.2955
Au1 Au 0.0000 0.0000 0.5000
```

## Properties
The total magnetization comes out at 0.00 μB per atom. The calculation puts the energy relative to the elements at -0.30 eV/atom. The energy above the lowest structure with this stoichiometry is 0.56 eV/f.u. The raw total energy comes out at -48.618 eV per atom.

[2]
DFT (SCAN) results for a PBEsol-optimized structure of LaAu3.

CIF file:
```
data_LaAu3
_cell_length_a 5.1505
_cell_length_b 6.5453
_cell_length_c 5.0483
_cell_angle_alpha 90.00
_cell_angle_beta 90.00
_cell_angle_gamma 90.00
_space_group_name_H-M_alt 'P m m n'
_space_group_IT_number 59
loop_
_space_group_symop_operation_xyz
'x,y,z'
'-x,-y,-z'
'-x+1/2,-y+1/2,z'
'x+1/2,y+1/2,-z'
'x+1/2,-y,-z'
'-x+1/2,y,z'
'-x,y+1/2,-z'
'x,-y+1/2,z'
loop_
_atom_site_label
_atom_site_type_symbol
_atom_site_fract_x
_atom_site_fract_y
_atom_site_fract_z
La1 La 0.2500 0.2500 0.1598
Au1 Au 0.2500 0.5207 0.6626
Au2 Au 0.2500 0.7500 0.1798
```

## Properties
The total magnetization comes out at 0.00 μB per atom. The calculation puts the energy relative to the elements at -0.83 eV/atom. The raw total energy comes out at -63.473 eV per atom.